(1)
A PBEsol-optimized structure of RbNb3Bi. Source: the Alexandria database, functional SCAN.

The structure in POSCAR format:
```
RbNb3Bi
1.0
4.837 0.000 0.000
0.000 4.837 0.000
0.000 0.000 4.837
Rb Bi Nb
1 1 3
direct
0.000 0.000 0.000
0.500 0.500 0.500
0.000 0.000 0.500
0.500 0.000 0.000
0.000 0.500 0.000
```

Summary:
DFT total energy in eV/atom: -37.10

***

(2)
A PBEsol-optimized structure of NbBi2Rh. Source: the Alexandria database, functional SCAN.

The structure in POSCAR format:
```
NbBi2Rh
1.0
-4.601 0.427 -1.457
-3.426 -2.829 1.933
-3.317 1.902 2.976
Bi Rh Nb
2 1 1
direct
0.250 0.250 0.250
0.750 0.750 0.750
0.500 0.500 0.500
0.000 0.000 0.000
```

Summary:
DFT total energy in eV/atom: -55.75